1.
The following is a PBE calculation of an optimized crystal structure of TaMoN2Cl, from Alexandria.

Cell lengths 3.940, 4.644, 3.940 Å; angles 90.00, 90.00, 90.00 degrees
Element x y z (fractional)
N  0.000  0.000  0.500
N  0.500  0.000  0.000
Mo  0.000  0.000  0.000
Cl  0.000  0.500  0.000
Ta  0.500  0.500  0.500

volume	14.4	Å³/atom
ΔE_f (raw)	1.0859	eV per atom
N(E_F)	1.22	states/eV per atom
SG	P4/mmm (123)

---

2.
The following is a PBE calculation of an optimized crystal structure of Nd3In5Te12, from Alexandria.

Cell lengths 15.550, 15.550, 15.550 Å; angles 109.47, 109.47, 109.47 degrees
Element x y z (fractional)
Nd  0.750  0.375  0.125
Nd  0.875  0.750  0.125
Nd  0.375  0.750  0.625
Nd  0.250  0.125  0.375
Nd  0.875  0.125  0.250
Nd  0.375  0.625  0.250
Nd  0.625  0.375  0.750
Nd  0.125  0.875  0.750
Nd  0.750  0.875  0.625
Nd  0.625  0.250  0.375
Nd  0.125  0.250  0.875
Nd  0.250  0.625  0.875
In  0.125  0.375  0.250
In  0.000  0.500  0.000
In  0.000  0.000  0.000
In  0.375  0.250  0.125
In  0.500  0.000  0.500
In  0.500  0.500  0.000
In  0.125  0.750  0.375
In  0.750  0.125  0.875
In  0.750  0.625  0.375
In  0.375  0.125  0.750
In  0.625  0.875  0.250
In  0.500  0.500  0.500
In  0.500  0.000  0.000
In  0.000  0.000  0.500
In  0.250  0.375  0.625
In  0.250  0.875  0.125
In  0.000  0.500  0.500
In  0.875  0.250  0.625
In  0.625  0.750  0.875
In  0.875  0.625  0.750
Te  0.716  0.130  0.043
Te  0.327  0.543  0.413
Te  0.957  0.370  0.284
Te  0.543  0.216  0.130
Te  0.586  0.716  0.673
Te  0.957  0.587  0.173
Te  0.327  0.784  0.414
Te  0.087  0.914  0.130
Te  0.587  0.957  0.673
Te  0.716  0.586  0.173
Te  0.784  0.457  0.370
Te  0.827  0.913  0.043
Te  0.130  0.716  0.543
Te  0.370  0.413  0.086
Te  0.086  0.913  0.370
Te  0.414  0.130  0.587
Te  0.086  0.173  0.216
Te  0.457  0.673  0.087
Te  0.827  0.914  0.284
Te  0.130  0.414  0.087
Te  0.370  0.957  0.784
Te  0.587  0.630  0.414
Te  0.913  0.827  0.543
Te  0.784  0.327  0.914
Te  0.413  0.370  0.586
Te  0.087  0.173  0.457
Te  0.216  0.673  0.086
Te  0.173  0.086  0.716
Te  0.630  0.043  0.216
Te  0.870  0.586  0.913
Te  0.543  0.327  0.913
Te  0.586  0.870  0.413
Te  0.914  0.827  0.784
Te  0.914  0.087  0.630
Te  0.870  0.284  0.457
Te  0.173  0.087  0.957
Te  0.630  0.587  0.914
Te  0.413  0.043  0.327
Te  0.284  0.414  0.827
Te  0.216  0.543  0.630
Te  0.913  0.086  0.870
Te  0.673  0.216  0.586
Te  0.457  0.784  0.870
Te  0.043  0.413  0.827
Te  0.414  0.284  0.327
Te  0.043  0.630  0.716
Te  0.673  0.457  0.587
Te  0.284  0.870  0.957

volume	36.2	Å³/atom
ΔE_f (raw)	-0.6698	eV per atom
N(E_F)	0.23	states/eV per atom
SG	Ia-3d (230)

---

3.
The following is a PBE calculation of an optimized crystal structure of NaTi2I, from Alexandria.

Cell lengths 8.039, 8.039, 6.383 Å; angles 50.97, 50.97, 90.00 degrees
Element x y z (fractional)
I  0.000  0.000  0.000
I  0.750  0.250  0.500
Na  0.500  0.500  0.000
Na  0.250  0.750  0.500
Ti  0.664  0.125  0.250
Ti  0.086  0.625  0.250
Ti  0.375  0.336  0.750
Ti  0.875  0.914  0.750

energy above the most stable polymorph in this dataset	0	meV per atom
volume	23.4	Å³/atom
ΔE_f (raw)	0.6909	eV per atom
N(E_F)	0.83	states/eV per atom
SG	I-42d (122)